PmPrY2Er PBE relaxed; space group = No. 63
1.0
-0.866 -4.874 -5.245
1.989 -6.208 5.440
-6.581 2.563 -1.295
Y Pr Er Pm
4 2 2 2
Cartesian
1.368 -4.268 3.740
0.189 -4.377 -0.922
0.622 -1.940 1.700
0.935 -6.705 1.118
-1.805 -4.573 2.068
-3.652 -3.946 -3.168
-2.143 -7.001 -0.579
-3.315 -1.519 -0.521
-4.788 -4.862 2.829
-0.670 -3.658 -3.929


Ta3W PBE relaxed; space group = No. 225
1.0
4.636 0.000 0.000
2.318 4.015 0.000
2.318 1.338 3.785
W Ta
1 3
Cartesian
6.954 4.015 2.839
4.636 2.677 1.893
0.000 0.000 0.000
2.318 1.338 0.946


Rb2PtPbCl6 PBE relaxed; uncorrected formation energy = -1.180 eV/atom; space group = No. 139
1.0
-1.503 5.520 -4.520
-4.718 -4.233 -3.602
-7.721 2.524 -0.231
Pb Cl Pt Rb
1 6 1 2
Cartesian
0.000 0.000 0.000
-1.712 0.354 -2.235
-5.664 1.685 -1.940
-4.509 0.933 -5.887
-3.834 -1.550 -3.854
-2.387 2.837 -4.267
-8.278 2.126 -6.413
-3.110 0.643 -4.061
-7.775 -0.533 -3.947
-6.167 4.344 -4.406


| no. | calculated total energy (Ha/atom) | total magnetic moment (μB per cell) |
| --- | --- | --- |
| 1 | -0.18446 | 0.00 |
| 2 | -0.44754 | 0.00 |
| 3 | -0.12701 | 0.00 |